1.
VASP calculation (PBE-GGA) on a relaxed structure of AcNd2ErAs4.

Cell lengths 4.305, 7.453, 7.448 Å; angles 70.63, 90.00, 90.00 degrees
Fractional positions:
Nd 0.000 0.000 0.000
Nd 0.500 0.000 0.500
As 0.500 0.253 0.738
As 0.000 0.756 0.736
As 0.000 0.244 0.264
As 0.500 0.747 0.262
Er 0.000 0.500 0.500
Ac 0.500 0.500 0.000

Values from the calculation:
**Energy relative to the elements**: -1.460 eV per atom
**Symmetry**: No. 10
**Total DFT energy (no corrections)**: -6.061 eV/atom

***

2.
VASP calculation (PBE-GGA) on a relaxed structure of IrSeBr2.

Cell lengths 3.690, 3.690, 8.223 Å; angles 77.02, 77.02, 59.96 degrees
Fractional positions:
Se 0.250 0.250 0.250
Br 0.475 0.475 0.575
Br 0.025 0.025 0.925
Ir 0.750 0.750 0.750

Values from the calculation:
**Energy relative to the elements, uncorrected**: 0.499 eV/atom
**Symmetry**: No. 166
**Total DFT energy (no corrections)**: -3.424 eV/atom
**E above lowest polymorph**: 563 meV per atom

***

3.
VASP calculation (PBE-GGA) on a relaxed structure of MgSO6.

Cell lengths 5.039, 5.039, 4.877 Å; angles 62.75, 62.75, 64.73 degrees
Site moments in Bohr magnetons follow the coordinates.
Fractional positions:
O 0.736 0.175 0.257  0.59
O 0.782 0.782 0.119  0.58
O 0.218 0.218 0.881  0.58
O 0.825 0.264 0.743  0.59
O 0.264 0.825 0.743  0.59
O 0.175 0.736 0.257  0.59
Mg 0.500 0.500 0.500  0.00
S 0.000 0.000 0.000  -0.05

Values from the calculation:
**Energy relative to the elements, uncorrected**: -0.626 eV/atom
**Symmetry**: No. 12
**Total DFT energy (no corrections)**: -5.060 eV/atom

***

4.
VASP calculation (PBE-GGA) on a relaxed structure of Sc2BeW.

Cell lengths 9.166, 9.166, 9.166 Å; angles 19.07, 19.07, 19.07 degrees
Fractional positions:
W 0.487 0.487 0.487
Be 0.755 0.755 0.755
Sc 0.241 0.241 0.241
Sc 0.016 0.016 0.016

Values from the calculation:
**Energy relative to the elements**: 0.370 eV per atom
**Symmetry**: No. 160
**Total DFT energy (no corrections)**: -6.965 eV/atom